# TaVMoRu, relaxed, DFT GGA-PBE
data_TaVMoRu
_chemical_formula_sum 'Ta1 V1 Mo1 Ru1'
_cell_length_a 3.128
_cell_length_b 3.128
_cell_length_c 6.268
_cell_angle_alpha 90.00
_cell_angle_beta 90.00
_cell_angle_gamma 90.00
_space_group_name_H-M_alt 'P 4 m m'
_space_group_IT_number 99
loop_
_space_group_symop_operation_xyz
'x,y,z'
'-y,x,z'
'-x,-y,z'
'y,-x,z'
'-x,y,z'
'y,x,z'
'x,-y,z'
'-y,-x,z'
loop_
_atom_site_label
_atom_site_fract_x
_atom_site_fract_y
_atom_site_fract_z
Ta1 0.000 0.000 0.000
V1 0.000 0.000 0.505
Mo1 0.500 0.500 0.735
Ru1 0.500 0.500 0.254
# Energy above the lowest structure with this stoichiometry = 0.3 kJ/mol of atoms
# E = -10.548 eV per atom

# TaVMoRu, relaxed, DFT GGA-PBE
data_TaVMoRu
_chemical_formula_sum 'Ta4 V4 Mo4 Ru4'
_cell_length_a 6.250
_cell_length_b 6.250
_cell_length_c 6.250
_cell_angle_alpha 90.00
_cell_angle_beta 90.00
_cell_angle_gamma 90.00
_space_group_name_H-M_alt 'F -4 3 m'
_space_group_IT_number 216
_space_group_name_Hall 'F -4 2 3'
loop_
_atom_site_label
_atom_site_fract_x
_atom_site_fract_y
_atom_site_fract_z
Ta1 0.000 0.000 0.000
V1 0.000 0.000 0.500
Mo1 0.250 0.250 0.250
Ru1 0.250 0.250 0.750
# Energy above the lowest structure with this stoichiometry = 0.0 kJ/mol of atoms
# E = -10.551 eV per atom

# Tb2MoRu3, relaxed, DFT GGA-PBE
data_Tb2MoRu3
_chemical_formula_sum 'Tb4 Mo2 Ru6'
_cell_length_a 5.5865
_cell_length_b 5.5865
_cell_length_c 8.1759
_cell_angle_alpha 90.00
_cell_angle_beta 90.00
_cell_angle_gamma 120.00
_space_group_name_H-M_alt 'P 63/m m c'
_space_group_IT_number 194
_space_group_name_Hall '-P 6c 2c'
loop_
_atom_site_label
_atom_site_fract_x
_atom_site_fract_y
_atom_site_fract_z
Tb1 0.3333 0.6667 0.0620
Mo1 0.0000 0.0000 0.0000
Ru1 0.1711 0.3422 0.7500
# E = -8.258 eV per atom

# Tc5MoRu2, relaxed, DFT GGA-PBE
data_Tc5MoRu2
_chemical_formula_sum 'Tc5 Mo1 Ru2'
_cell_length_a 4.789
_cell_length_b 5.202
_cell_length_c 5.505
_cell_angle_alpha 105.33
_cell_angle_beta 90.06
_cell_angle_gamma 117.39
_space_group_name_H-M_alt 'P 1'
_space_group_IT_number 1
loop_
_space_group_symop_operation_xyz
'x,y,z'
loop_
_atom_site_label
_atom_site_fract_x
_atom_site_fract_y
_atom_site_fract_z
Tc1 0.000 0.000 0.000
Tc2 0.001 0.009 0.503
Tc3 0.418 0.500 0.375
Tc4 0.421 0.507 0.876
Tc5 0.918 0.499 0.624
Mo1 0.915 0.495 0.124
Ru1 0.499 0.996 0.747
Ru2 0.503 0.000 0.251
# E = -10.167 eV per atom